Version A
VASP calculation (PBE-GGA) on an optimized crystal structure of TbPmN2.

Calculated values
DOS(E_F) (states/eV/atom): 0.113
Crystal system: monoclinic

abc: 5.0317 5.0356 10.0587
angles: 90.01 90.00 90.00
Last column: nearest neighbours and their distance in Å.
Atoms (fractional coordinates):
Pm1 0.7501 0.4989 0.3750  6 N 2.50-2.56
Pm2 0.7501 0.0011 0.1250  6 N 2.50-2.56
N1 0.7501 0.4953 0.6292  3 Tb 2.47-2.55, 3 Pm 2.52-2.56
Tb1 0.7498 0.4979 0.8750  6 N 2.47-2.55
N2 0.2504 0.9971 0.6207  3 Tb 2.47-2.52, 3 Pm 2.50-2.56
Tb2 0.2502 0.9979 0.3750  6 N 2.47-2.55
N3 0.7496 0.0029 0.3793  3 Tb 2.47-2.52, 3 Pm 2.50-2.56
N4 0.2499 0.9953 0.1292  3 Tb 2.47-2.55, 3 Pm 2.52-2.56
N5 0.7501 0.0047 0.8708  3 Tb 2.47-2.55, 3 Pm 2.52-2.56
N6 0.2504 0.5029 0.8793  3 Tb 2.47-2.52, 3 Pm 2.50-2.56
N7 0.7496 0.4971 0.1207  3 Tb 2.47-2.52, 3 Pm 2.50-2.56
Pm3 0.2499 0.5011 0.6250  6 N 2.50-2.56
Pm4 0.2499 0.9989 0.8750  6 N 2.50-2.56
Tb3 0.2502 0.5021 0.1250  6 N 2.47-2.55
Tb4 0.7498 0.0021 0.6250  6 N 2.47-2.55
N8 0.2499 0.5047 0.3708  3 Tb 2.47-2.55, 3 Pm 2.52-2.56


Version B
VASP calculation (PBE-GGA) on an optimized crystal structure of TbPmN2.

Calculated values
Crystal system: trigonal

abc: 3.4939 3.4939 6.3870
angles: 74.13 74.13 60.00
Last column: nearest neighbours and their distance in Å.
Atoms (fractional coordinates):
N1 0.0814 0.0814 0.7557  3 Pm 2.45, 3 Tb 2.56
Tb1 0.5011 0.5011 0.4967  6 N 2.47-2.56
Pm1 0.6715 0.6715 0.9856  6 N 2.45-2.62
N2 0.2460 0.2460 0.2620  3 Tb 2.47, 3 Pm 2.62


Most stable to least stable: version A, version B


Version A
VASP calculation (PBE-GGA) on an optimized crystal structure of Pm2TcN.

Calculated values
DOS(E_F) (states/eV/atom): 0.740
Crystal system: tetragonal

abc: 3.1809 3.1809 7.3378
angles: 90.00 90.00 90.00
Last column: nearest neighbours and their distance in Å.
Atoms (fractional coordinates):
Tc1 0.5000 0.5000 0.0000  8 Pm 3.14, 4 Tc 3.18
N1 0.5000 0.5000 0.5000  8 Pm 2.69
Pm1 0.0000 0.0000 0.2980  4 N 2.69, 1 Pm 2.96
Pm2 0.0000 0.0000 0.7020  4 N 2.69, 1 Pm 2.96


Version B
VASP calculation (PBE-GGA) on an optimized crystal structure of Pm2TcN.

Calculated values
DOS(E_F) (states/eV/atom): 0.898
Crystal system: trigonal

abc: 3.4066 3.4066 8.6181
angles: 78.60 78.60 60.00
Last column: nearest neighbours and their distance in Å.
Atoms (fractional coordinates):
Pm1 0.1092 0.1092 0.6724  3 N 2.44
Tc1 0.0000 0.0000 0.0000  2 Pm 2.75
N1 0.5000 0.5000 0.5000  6 Pm 2.44
Pm2 0.8908 0.8908 0.3276  3 N 2.44


Most stable to least stable: version A, version B